1.
K2CdTeO: optimized geometry, GGA-PBE.

a = 5.529 Å, b = 5.529 Å, c = 4.384 Å
α = 90.00°, β = 90.00°, γ = 90.00°
Fractional positions:
1 K 0.000 0.500 0.000
2 K 0.500 0.000 0.000
3 Cd 0.000 0.000 0.500
4 Te 0.500 0.500 0.500
5 O 0.000 0.000 0.000

Calculated values
DOS at the Fermi energy: 0.223 states/eV per atom
Raw formation energy: -418.1 kJ/mol of formula units

2.
CuPd4Pt2: optimized geometry, GGA-PBE.

a = 9.098 Å, b = 5.090 Å, c = 9.307 Å
α = 71.69°, β = 32.08°, γ = 76.23°
Fractional positions:
1 Cu 0.000 0.000 0.000
2 Cu 0.250 0.250 0.250
3 Pd 0.076 0.931 0.675
4 Pd 0.311 0.403 0.528
5 Pd 0.403 0.311 0.759
6 Pd 0.491 0.722 0.847
7 Pd 0.575 0.932 0.174
8 Pd 0.722 0.491 0.939
9 Pd 0.931 0.076 0.318
10 Pd 0.932 0.575 0.319
11 Pt 0.151 0.713 0.377
12 Pt 0.492 0.873 0.537
13 Pt 0.713 0.151 0.758
14 Pt 0.873 0.492 0.099

Calculated values
DOS at the Fermi energy: 1.786 states/eV per atom
Calculated formation energy: 84.4 meV/atom
ΔE to the lowest computed polymorph: 0.000 eV per formula unit

3.
MoPd4Pt: optimized geometry, GGA-PBE.

a = 4.868 Å, b = 2.774 Å, c = 6.833 Å
α = 90.00°, β = 90.72°, γ = 90.00°
Fractional positions:
1 Mo 0.000 0.000 0.000
2 Pd 0.166 0.500 0.671
3 Pd 0.324 0.000 0.328
4 Pd 0.676 0.000 0.672
5 Pd 0.834 0.500 0.329
6 Pt 0.500 0.500 0.000

Calculated values
DOS at the Fermi energy: 1.006 states/eV per atom
Calculated formation energy: -109.4 meV/atom
ΔE to the lowest computed polymorph: 0.000 eV per formula unit

4.
KNaTb2Cl8: optimized geometry, GGA-PBE.

a = 6.745 Å, b = 8.334 Å, c = 6.853 Å
α = 90.00°, β = 94.13°, γ = 90.00°
Fractional positions:
1 K 0.000 0.000 0.000
2 Na 0.000 0.500 0.000
3 Tb 0.500 0.254 0.500
4 Tb 0.500 0.746 0.500
5 Cl 0.227 0.269 0.211
6 Cl 0.227 0.731 0.211
7 Cl 0.311 0.500 0.671
8 Cl 0.317 0.000 0.662
9 Cl 0.683 0.000 0.338
10 Cl 0.689 0.500 0.329
11 Cl 0.773 0.269 0.789
12 Cl 0.773 0.731 0.789

Calculated values
DOS at the Fermi energy: 0.000 states/eV per atom
Raw formation energy: -2481.0 kJ/mol of formula units

Q: The highest DOS at the Fermi energy belongs to which entry?
A: CuPd4Pt2